# 1
Below is crystalline Ti4Ge2S at its relaxed geometry, with properties calculated at the PBE level.

The structure belongs to space group I4/mmm (No. 139); the cell edges are 4.295, 4.295 and 13.807 Å and the angles 90.00°, 90.00° and 90.00°. Symmetry generates all atoms from Ti at (0.000, 0.000, 0.173), Ti at (0.000, 0.500, 0.000), Ge at (0.000, 0.000, 0.359) and S at (0.000, 0.000, 0.000).

As for the total energy: -6.79 eV/atom. The density of states at the Fermi level is 7.7 states/eV/f.u. The formation energy from raw total energies is -373 meV/atom. Its crystal system is tetragonal.

=====

# 2
Below is crystalline Ti4GeS8 at its relaxed geometry, with properties calculated at the PBE level.

The structure belongs to space group F-43m (No. 216); the cell edges are 10.058, 10.058 and 10.058 Å and the angles 90.00°, 90.00° and 90.00°. Symmetry generates all atoms from Ti at (0.112, 0.112, 0.112), Ge at (0.000, 0.000, 0.500), S at (0.124, 0.124, 0.876) and S at (0.135, 0.135, 0.365).

As for the total energy: -6.47 eV/atom. As for the energy relative to the lowest polymorph listed for this composition: 2.0 kJ per mole of atoms. The density of states at the Fermi level is 7.2 states/eV/f.u. The formation energy from raw total energies is -1148 meV/atom. Its crystal system is cubic.

=====

# 3
Below is crystalline TiGeS2 at its relaxed geometry, with properties calculated at the PBE level.

The structure belongs to space group R-3m (No. 166, hexagonal axes); the cell edges are 3.3251, 3.3251 and 24.7152 Å and the angles 90.00°, 90.00° and 120.00°. Symmetry generates all atoms from Ti at (0.0000, 0.0000, 0.0000), Ge at (0.0000, 0.0000, 0.5000) and S at (0.0000, 0.0000, 0.3930).

As for the total energy: -6.03 eV/atom. The density of states at the Fermi level is 2.3 states/eV/f.u. The formation energy from raw total energies is -834 meV/atom. Its crystal system is trigonal.

=====

# 4
Below is crystalline Tl2GeS3 at its relaxed geometry, with properties calculated at the PBE level.

The structure belongs to space group C2/c (No. 15); the cell edges are 6.731, 13.703 and 15.052 Å and the angles 90.00°, 90.13° and 90.00°. Symmetry generates all atoms from Tl at (0.250, 0.112, 0.056), Tl at (0.250, 0.204, 0.642), Ge at (0.250, 0.002, 0.329), S at (0.000, 0.078, 0.250), S at (0.000, 0.422, 0.750), S at (0.249, 0.416, 0.544) and S at (0.250, 0.156, 0.841).

As for the total energy: -4.01 eV/atom. The formation energy from raw total energies is -387 meV/atom. Its crystal system is monoclinic.

=====

# 5
Below is crystalline TlGe3S at its relaxed geometry, with properties calculated at the PBE level.

The structure belongs to space group Pm-3m (No. 221); the cell edges are 5.020, 5.020 and 5.020 Å and the angles 90.00°, 90.00° and 90.00°. Symmetry generates all atoms from Tl at (0.000, 0.000, 0.000), Ge at (0.000, 0.500, 0.500) and S at (0.500, 0.500, 0.500).

As for the total energy: -3.62 eV/atom. As for the energy relative to the lowest polymorph listed for this composition: 0.0 kJ per mole of atoms. The density of states at the Fermi level is 1.9 states/eV/f.u. The formation energy from raw total energies is 446 meV/atom. Its crystal system is cubic.

=====

# 6
Below is crystalline TlGeS at its relaxed geometry, with properties calculated at the PBE level.

The structure belongs to space group C2/m (No. 12); the cell edges are 18.330, 5.430 and 3.473 Å and the angles 90.00°, 93.45° and 90.00°. Symmetry generates all atoms from Tl at (0.086, 0.000, 0.260), Ge at (0.240, 0.500, 0.997) and S at (0.152, 0.500, 0.470).

As for the total energy: -3.89 eV/atom. As for the energy relative to the lowest polymorph listed for this composition: 0.0 kJ per mole of atoms. The density of states at the Fermi level is 0.8 states/eV/f.u. The formation energy from raw total energies is -188 meV/atom. Its crystal system is monoclinic.

=====

# 7
Below is crystalline TlGe2S at its relaxed geometry, with properties calculated at the PBE level.

The structure belongs to space group I-42d (No. 122); the cell edges are 5.994, 5.994 and 12.812 Å and the angles 90.00°, 90.00° and 90.00°. Symmetry generates all atoms from Tl at (0.000, 0.000, 0.000), Ge at (0.215, 0.250, 0.625) and S at (0.000, 0.000, 0.500).

As for the total energy: -3.64 eV/atom. As for the energy relative to the lowest polymorph listed for this composition: 0.0 kJ per mole of atoms. The density of states at the Fermi level is 1.7 states/eV/f.u. The formation energy from raw total energies is 293 meV/atom. Its crystal system is tetragonal.

=====

# 8
Below is crystalline TlGeS2 at its relaxed geometry, with properties calculated at the PBE level.

The structure belongs to space group Pnma (No. 62); the cell edges are 9.263, 6.743 and 14.531 Å and the angles 90.00°, 90.00° and 90.00°. Symmetry generates all atoms from Tl at (0.017, 0.250, 0.123), Tl at (0.141, 0.750, 0.318), Ge at (0.084, 0.750, 0.543), Ge at (0.244, 0.250, 0.573), S at (0.022, 0.750, 0.087), S at (0.144, 0.505, 0.654) and S at (0.171, 0.250, 0.426).

As for the total energy: -4.20 eV/atom. The density of states at the Fermi level is 0.0 states/eV/f.u. The formation energy from raw total energies is -395 meV/atom. Its crystal system is orthorhombic.